(i)
This record from Alexandria describes crystalline NbMoIO2 at its relaxed geometry. The functional is GGA+U.

CIF file:
```
data_NbMoIO2
_chemical_formula_sum 'Nb1 Mo1 I1 O2'
_space_group_name_H-M_alt 'P 4/m m m'
_space_group_IT_number 123
_space_group_name_Hall '-P 4 2'
_cell_length_a 4.0825
_cell_length_b 4.0825
_cell_length_c 6.0077
_cell_angle_alpha 90.00
_cell_angle_beta 90.00
_cell_angle_gamma 90.00
loop_
_atom_site_label
_atom_site_type_symbol
_atom_site_fract_x
_atom_site_fract_y
_atom_site_fract_z
_atom_site_occupancy
Nb1 Nb 0.0000 0.0000 0.0000 1
Mo1 Mo 0.5000 0.5000 0.5000 1
I1 I 0.0000 0.0000 0.5000 1
O1 O 0.0000 0.5000 0.0000 1
```

Summary:
Density of states at the Fermi level: 2.42 states/eV/cell
V: 20.03 Å³/atom

(ii)
This record from Alexandria describes crystalline NbMoIO2 at its relaxed geometry. The functional is GGA+U.

CIF file:
```
data_NbMoIO2
_chemical_formula_sum 'Nb1 Mo1 I1 O2'
_space_group_name_H-M_alt 'P 4/m m m'
_space_group_IT_number 123
_space_group_name_Hall '-P 4 2'
_cell_length_a 3.9676
_cell_length_b 3.9676
_cell_length_c 7.5729
_cell_angle_alpha 90.00
_cell_angle_beta 90.00
_cell_angle_gamma 90.00
loop_
_atom_site_label
_atom_site_type_symbol
_atom_site_fract_x
_atom_site_fract_y
_atom_site_fract_z
_atom_site_occupancy
Nb1 Nb 0.0000 0.0000 0.0000 1
Mo1 Mo 0.5000 0.5000 0.5000 1
I1 I 0.5000 0.5000 0.0000 1
O1 O 0.0000 0.5000 0.5000 1
```

Summary:
Density of states at the Fermi level: 3.56 states/eV/cell
V: 23.84 Å³/atom

Question: of the structures shown, which is the most stable? Reply: (i).